Record 1
Tl2CuPb | the Alexandria database | PBE-GGA | optimized geometry; formation enthalpy at 0 K = 0.1956 eV per atom; V = 210.2 Å³/cell; symmetry = C2/m (12); calculated density = 10.74 g cm⁻³; electronic total energy = -2.94 eV/atom
1.0
12.726 0.000 0.000
0.000 3.477 0.000
-2.092 0.000 4.750
Tl Cu Pb
4 2 2
Direct
0.200 0.000 0.200
0.300 0.500 0.800
0.700 0.500 0.200
0.800 0.000 0.800
0.000 0.500 0.000
0.500 0.000 0.000
0.000 0.000 0.500
0.500 0.500 0.500

***

Record 2
Tl2CuPb | the Alexandria database | PBE-GGA | optimized geometry; formation enthalpy at 0 K = 0.2937 eV per atom; V = 209.5 Å³/cell; symmetry = I-4m2 (119); calculated density = 10.77 g cm⁻³; electronic total energy = -2.84 eV/atom
1.0
4.866 0.000 0.000
0.000 4.866 0.000
0.000 0.000 8.848
Tl Cu Pb
4 2 2
Direct
0.000 0.000 0.000
0.000 0.500 0.250
0.500 0.000 0.750
0.500 0.500 0.500
0.000 0.500 0.750
0.500 0.000 0.250
0.000 0.000 0.500
0.500 0.500 0.000

***

Record 3
Tl2CuPb | the Alexandria database | PBE-GGA | optimized geometry; formation enthalpy at 0 K = 0.1664 eV per atom; V = 108.5 Å³/cell; symmetry = Pm (6); calculated density = 10.40 g cm⁻³; electronic total energy = -2.97 eV/atom
1.0
3.680 0.000 0.000
0.000 3.829 0.000
-1.662 0.000 7.700
Tl Cu Pb
2 1 1
Direct
0.000 0.000 0.000
0.362 0.500 0.716
0.143 0.500 0.272
0.703 0.000 0.407